# 1
Here is crystalline InCuTe2PdS at its relaxed geometry from OQMD via LeMat-Bulk. Energies are from GGA-PBE.

The theoretical density is 7.15 Mg/m³. For the total energy, the calculation gives -3.834 eV/atom. Its volume is 132.8 Å³/f.u.

The space group is Cmcm (No. 63) and the conventional cell measures 3.935, 14.457 and 9.338 Å, with angles of 90.00, 90.00 and 90.00 degrees. The asymmetric unit holds In at (0.000, 0.231, 0.250), Cu at (0.000, 0.010, 0.750), Te at (0.000, 0.139, 0.556), Pd at (0.000, 0.500, 0.000) and S at (0.000, 0.430, 0.750).

# 2
Here is crystalline InCuTePdS2 at its relaxed geometry from OQMD via LeMat-Bulk. Energies are from GGA-PBE.

The theoretical density is 6.08 Mg/m³. For the total energy, the calculation gives -3.978 eV/atom. Its volume is 130.2 Å³/f.u.

The space group is Cmcm (No. 63) and the conventional cell measures 3.728, 13.297 and 10.501 Å, with angles of 90.00, 90.00 and 90.00 degrees. The asymmetric unit holds In at (0.000, 0.231, 0.250), Cu at (0.000, 0.427, 0.750), Te at (0.000, 0.082, 0.750), Pd at (0.000, 0.000, 0.000) and S at (0.000, 0.385, 0.544).

# 3
Here is crystalline Sc2In4CuPd at its relaxed geometry from OQMD via LeMat-Bulk. Energies are from GGA-PBE.

The total magnetization is 0.03 μB/cell. The theoretical density is 7.25 Mg/m³. For the total energy, the calculation gives -4.460 eV/atom. Its volume is 164.7 Å³/f.u.

The space group is Amm2 (No. 38) and the conventional cell measures 7.176, 4.400 and 10.432 Å, with angles of 90.00, 90.00 and 90.00 degrees. The asymmetric unit holds Sc at (0.000, 0.000, 0.000), Sc at (0.500, 0.000, 0.148), In at (0.211, 0.000, 0.709), In at (0.297, 0.000, 0.438), Cu at (0.500, 0.000, 0.871) and Pd at (0.000, 0.000, 0.276).

# 4
Here is crystalline Sc3In3CuPd2 at its relaxed geometry from OQMD via LeMat-Bulk. Energies are from GGA-PBE.

The total magnetization is 0.00 μB/cell. The theoretical density is 7.25 Mg/m³. For the total energy, the calculation gives -5.227 eV/atom. Its volume is 173.1 Å³/f.u.

The space group is P-62m (No. 189) and the conventional cell measures 7.6079, 7.6079 and 3.4528 Å, with angles of 90.00, 90.00 and 120.00 degrees. The asymmetric unit holds Sc at (0.0000, 0.6011, 0.0000), In at (0.0000, 0.2667, 0.5000), Cu at (0.0000, 0.0000, 0.0000) and Pd at (0.3333, 0.6667, 0.5000).

# 5
Here is crystalline Sc3In3Cu2Pd at its relaxed geometry from OQMD via LeMat-Bulk. Energies are from GGA-PBE.

The total magnetization is 0.01 μB/cell. The theoretical density is 6.86 Mg/m³. For the total energy, the calculation gives -4.903 eV/atom. Its volume is 172.5 Å³/f.u.

The space group is P-62m (No. 189) and the conventional cell measures 7.4780, 7.4780 and 3.5629 Å, with angles of 90.00, 90.00 and 120.00 degrees. The asymmetric unit holds Sc at (0.0000, 0.6011, 0.0000), In at (0.0000, 0.2780, 0.5000), Cu at (0.3333, 0.6667, 0.5000) and Pd at (0.0000, 0.0000, 0.0000).

# 6
Here is crystalline InCu3PdSe4 at its relaxed geometry from OQMD via LeMat-Bulk. Energies are from GGA-PBE.

The theoretical density is 5.95 Mg/m³. For the total energy, the calculation gives -3.819 eV/atom. Its volume is 203.2 Å³/f.u.

The space group is P-43m (No. 215) and the conventional cell measures 5.879, 5.879 and 5.879 Å, with angles of 90.00, 90.00 and 90.00 degrees. The asymmetric unit holds In at (0.000, 0.000, 0.000), Cu at (0.000, 0.500, 0.500), Pd at (0.500, 0.500, 0.500) and Se at (0.257, 0.257, 0.257).